(1)
Computed, not measured: a geometry-optimized Mg2CdGa2 structure at the PBE level of DFT.

Summary:
ΔH_f (0 K) in eV/atom: 0.008
ΔE to the lowest computed polymorph in kJ/mol of atoms: 10.4
N(E_F) in states/eV/atom: 0.6279
Space group: I4/mmm (139)

Structure (extended XYZ):
```
10
Lattice="3.7550 0.0000 0.0000 0.0000 3.7550 0.0000 0.0000 0.0000 15.4169" Properties=species:S:1:pos:R:3 pbc="T T T"
Mg 0.0000 0.0000 1.5889
Mg 0.0000 0.0000 13.8281
Mg 1.8775 1.8775 6.1196
Mg 1.8775 1.8775 9.2973
Cd 0.0000 0.0000 7.7085
Cd 1.8775 1.8775 0.0000
Ga 0.0000 1.8775 3.8542
Ga 0.0000 1.8775 11.5627
Ga 1.8775 0.0000 3.8542
Ga 1.8775 0.0000 11.5627
```

(2)
Computed, not measured: a geometry-optimized CaLaO2F structure at the PBE level of DFT.

Summary:
Raw formation energy in eV per atom: -2.770
N(E_F) in states/eV/atom: 0.0000
Space group: P4/mmm (123)

Structure (extended XYZ):
```
5
Lattice="4.6621 0.0000 0.0000 0.0000 4.6621 0.0000 0.0000 0.0000 4.5654" Properties=species:S:1:pos:R:3 pbc="T T T"
Ca 0.0000 0.0000 0.0000
La 2.3310 2.3310 2.2827
O 0.0000 2.3310 2.2827
O 2.3310 0.0000 2.2827
F 2.3310 2.3310 0.0000
```

(3)
Computed, not measured: a geometry-optimized AcSmPb2 structure at the PBE level of DFT.

Summary:
ΔH_f (0 K) in eV/atom: -0.495
N(E_F) in states/eV/atom: 0.8011
Space group: Pmc2_1 (26)

Structure (extended XYZ):
```
8
Lattice="4.6327 0.0000 0.0000 0.0000 6.5913 0.0000 0.0000 0.0000 8.9881" Properties=species:S:1:pos:R:3 pbc="T T T"
Ac 0.0000 0.8126 0.0000
Ac 0.0000 5.7788 4.4940
Sm 2.3164 2.4803 3.3386
Sm 2.3164 4.1110 7.8327
Pb 0.0000 2.7396 5.7934
Pb 0.0000 3.8517 1.2993
Pb 2.3164 0.6451 6.5106
Pb 2.3164 5.9463 2.0166
```

(4)
Computed, not measured: a geometry-optimized TaAg5S5 structure at the PBE level of DFT.

Summary:
Raw formation energy in eV per atom: -0.216
Space group: C2/m (12)

Structure (extended XYZ):
```
11
Lattice="7.2010 -2.3166 0.0000 7.2010 2.3166 0.0000 -4.0755 0.0000 7.4102" Properties=species:S:1:pos:R:3 pbc="T T T"
Ta 0.0000 0.0000 0.0000
Ag -2.0378 0.0000 3.7051
Ag 0.8463 0.0000 4.6564
Ag 3.9502 0.0000 1.6558
Ag 6.3763 0.0000 5.7544
Ag 9.4802 0.0000 2.7538
S -1.8860 0.0000 6.0976
S 1.3961 0.0000 2.0506
S 7.2010 0.0000 0.0000
S 8.9304 0.0000 5.3596
S 12.2125 0.0000 1.3126
```

(5)
Computed, not measured: a geometry-optimized LaBe2Cd structure at the PBE level of DFT.

Summary:
ΔH_f (0 K) in eV/atom: 0.255
N(E_F) in states/eV/atom: 0.6843
Space group: I4_1/amd (141)

Structure (extended XYZ):
```
16
Lattice="4.5943 0.0000 0.0000 0.0000 4.5943 0.0000 0.0000 0.0000 16.6027" Properties=species:S:1:pos:R:3 pbc="T T T"
La 0.0000 1.1486 6.2260
La 0.0000 3.4457 10.3767
La 2.2972 1.1486 2.0753
La 2.2972 3.4457 14.5274
Be 0.0000 0.0000 0.0000
Be 0.0000 2.2972 0.0000
Be 1.1486 1.1486 12.4520
Be 1.1486 3.4457 4.1507
Be 2.2972 0.0000 8.3013
Be 2.2972 2.2972 8.3013
Be 3.4457 1.1486 12.4520
Be 3.4457 3.4457 4.1507
Cd 0.0000 1.1486 14.5274
Cd 0.0000 3.4457 2.0753
Cd 2.2972 1.1486 10.3767
Cd 2.2972 3.4457 6.2260
```

(6)
Computed, not measured: a geometry-optimized CdCuNi2B structure at the PBE level of DFT.

Summary:
ΔH_f (0 K) in eV/atom: -0.033
N(E_F) in states/eV/atom: 0.5574
Space group: P4/mmm (123)

Structure (extended XYZ):
```
5
Lattice="3.9051 0.0000 0.0000 0.0000 3.9051 0.0000 0.0000 0.0000 4.0324" Properties=species:S:1:pos:R:3 pbc="T T T"
Cd 0.0000 0.0000 0.0000
Cu 1.9526 1.9526 0.0000
Ni 0.0000 1.9526 2.0162
Ni 1.9526 0.0000 2.0162
B 1.9526 1.9526 2.0162
```

(7)
Computed, not measured: a geometry-optimized ZrTlRe2 structure at the PBE level of DFT.

Summary:
ΔH_f (0 K) in eV/atom: 0.408
ΔE to the lowest computed polymorph in kJ/mol of atoms: 25.1
N(E_F) in states/eV/atom: 1.2582
Space group: Cm (8)

Structure (extended XYZ):
```
8
Lattice="10.6521 0.0000 0.0000 0.0000 3.3033 0.0000 -2.0120 0.0000 4.1809" Properties=species:S:1:pos:R:3 pbc="T T T"
Zr 0.0000 0.0000 0.0000
Zr 5.3261 1.6516 0.0000
Tl 0.9331 0.0000 3.0244
Tl 6.2591 1.6516 3.0244
Re 2.2308 1.6516 1.0747
Re 4.0732 0.0000 1.9723
Re 7.5569 0.0000 1.0747
Re 9.3993 1.6516 1.9723
```

(8)
Computed, not measured: a geometry-optimized La2Cu2AgPd5 structure at the PBE level of DFT.

Summary:
ΔH_f (0 K) in eV/atom: -0.558
N(E_F) in states/eV/atom: 0.3127
Space group: P4/mbm (127)

Structure (extended XYZ):
```
20
Lattice="9.5659 0.0000 0.0000 0.0000 9.5659 0.0000 0.0000 0.0000 4.0230" Properties=species:S:1:pos:R:3 pbc="T T T"
La 1.7271 3.0559 0.0000
La 3.0559 7.8389 0.0000
La 6.5100 1.7271 0.0000
La 7.8389 6.5100 0.0000
Cu 1.1172 5.9002 0.0000
Cu 3.6658 1.1172 0.0000
Cu 5.9002 8.4487 0.0000
Cu 8.4487 3.6658 0.0000
Ag 0.0000 0.0000 0.0000
Ag 4.7830 4.7830 0.0000
Pd 0.0000 4.7830 2.0115
Pd 0.6335 7.5742 2.0115
Pd 1.9918 0.6335 2.0115
Pd 2.7912 5.4165 2.0115
Pd 4.1495 2.7912 2.0115
Pd 4.7830 0.0000 2.0115
Pd 5.4165 6.7747 2.0115
Pd 6.7747 4.1495 2.0115
Pd 7.5742 8.9324 2.0115
Pd 8.9324 1.9918 2.0115
```